(1)
The following is a PBE calculation of a relaxed structure of Pr2Dy2Y2Tm, from Alexandria.

POSCAR file:
```
Pr2Dy2Y2Tm
1.0
3.5268 0.0000 0.0000
-1.7634 5.7060 1.4976
0.0000 0.8374 11.8332
Tm Dy Pr Y
1 2 2 2
direct
0.0000 0.0000 0.5000
0.7709 0.5417 0.3665
0.2291 0.4583 0.6335
0.6726 0.3452 0.9131
0.3274 0.6548 0.0869
0.4520 0.9039 0.7686
0.5480 0.0961 0.2314
```

Properties
The value obtained for the density is 6.8 g/cm³. Its crystal system is monoclinic. The volume comes out at 33.4 A^3/atom. The energy of formation comes out at 0.08 eV/atom. Its space-group type is No. 12.

---

(2)
The following is a PBE calculation of a relaxed structure of Mg2TiHPd, from Alexandria.

POSCAR file:
```
Mg2TiHPd
1.0
4.3962 0.0000 0.0000
0.0000 4.3962 0.0000
0.0000 0.0000 3.7050
Mg H Pd Ti
2 1 1 1
direct
0.5000 0.0000 0.0000
0.0000 0.5000 0.0000
0.0000 0.0000 0.0000
0.5000 0.5000 0.5000
0.0000 0.0000 0.5000
```

Properties
The value obtained for the density is 4.7 g/cm³. Its crystal system is tetragonal. The volume comes out at 14.3 A^3/atom. Its total energy is -20.85 eV/cell. Its space-group type is No. 123.

---

(3)
The following is a PBE calculation of a relaxed structure of KCaOs2, from Alexandria.

POSCAR file:
```
KCaOs2
1.0
3.8626 0.0000 0.0000
0.0000 2.9137 0.1640
0.0000 1.9008 9.5334
Os K Ca
2 1 1
direct
0.0000 0.9002 0.0945
0.5000 0.3244 0.1855
0.5000 0.6329 0.8179
0.0000 0.6424 0.4021
```

Properties
The value obtained for the density is 7.2 g/cm³. For the energy relative to the lowest polymorph listed for this composition, the calculation gives 143.8 meV/atom. Its crystal system is monoclinic. The volume comes out at 26.5 A^3/atom. The energy of formation comes out at 0.54 eV/atom. Its space-group type is No. 6.

---

(4)
The following is a PBE calculation of a relaxed structure of BeSiHg, from Alexandria.

POSCAR file:
```
BeSiHg
1.0
3.8919 0.0000 0.0000
-1.9460 3.3705 0.0000
0.0000 0.0000 3.9282
Hg Si Be
1 1 1
direct
0.6667 0.3333 0.3328
0.3333 0.6667 0.8328
0.0000 0.0000 0.8343
```

Properties
The value obtained for the density is 7.7 g/cm³. The uncorrected formation energy is 44.19 kJ per mole of atoms. Its crystal system is trigonal. The volume comes out at 17.2 A^3/atom. Its space-group type is No. 156.

---

(5)
The following is a PBE calculation of a relaxed structure of SiAg2P, from Alexandria.

POSCAR file:
```
SiAg2P
1.0
-2.5790 0.1396 1.2238
1.0246 -1.5282 2.1870
2.1992 6.9690 3.8394
Si Ag P
1 2 1
direct
0.5000 0.5000 0.7500
0.0000 0.0000 0.5016
0.0000 0.0000 0.9984
0.5000 0.5000 0.2500
```

Properties
The value obtained for the density is 6.8 g/cm³. For the energy relative to the lowest polymorph listed for this composition, the calculation gives 249.7 meV/atom. The uncorrected formation energy is 39.74 kJ per mole of atoms. Its crystal system is orthorhombic. The volume comes out at 16.9 A^3/atom. Its space-group type is No. 65.

---

(6)
The following is a PBE calculation of a relaxed structure of La2NbCo, from Alexandria.

POSCAR file:
```
La2NbCo
1.0
0.0000 3.6530 3.6530
3.6530 0.0000 3.6530
3.6530 3.6530 0.0000
La Nb Co
2 1 1
direct
0.7500 0.7500 0.7500
0.2500 0.2500 0.2500
0.5000 0.5000 0.5000
0.0000 0.0000 0.0000
```

Properties
The value obtained for the density is 7.3 g/cm³. For the energy relative to the lowest polymorph listed for this composition, the calculation gives 0.0 meV/atom. Its crystal system is cubic. The volume comes out at 24.4 A^3/atom. The energy of formation comes out at 0.47 eV/atom. Its space-group type is No. 225.

---

(7)
The following is a PBE calculation of a relaxed structure of TaTeP2, from Alexandria.

POSCAR file:
```
TaTeP2
1.0
-2.6771 1.7744 1.6403
-2.8580 -4.5631 0.2716
1.5815 -0.7863 3.4317
Te Ta P
1 1 2
direct
0.0000 0.5000 0.5000
0.5000 0.0000 0.5000
0.5000 0.5000 0.0000
0.0000 0.0000 0.0000
```

Properties
The value obtained for the density is 8.2 g/cm³. The uncorrected formation energy is 49.05 kJ per mole of atoms. Its crystal system is orthorhombic. The volume comes out at 18.8 A^3/atom. Its space-group type is No. 47.

---

(8)
The following is a PBE calculation of a relaxed structure of MgIn2N2, from Alexandria.

POSCAR file:
```
MgIn2N2
1.0
-0.7633 -0.8742 6.5756
1.3922 -6.4926 -0.7016
3.5266 0.7019 0.5027
In N Mg
4 4 2
direct
0.8574 0.3574 0.5000
0.6426 0.8574 0.5000
0.3574 0.1426 0.5000
0.1426 0.6426 0.5000
0.7714 0.7286 0.0000
0.7286 0.2286 0.0000
0.2286 0.2714 0.0000
0.2714 0.7714 0.0000
0.0000 0.0000 0.0000
0.5000 0.5000 0.0000
```

Properties
The value obtained for the density is 5.8 g/cm³. For the energy relative to the lowest polymorph listed for this composition, the calculation gives 607.8 meV/atom. The uncorrected formation energy is 42.73 kJ per mole of atoms. Its crystal system is tetragonal. The volume comes out at 16.2 A^3/atom. Its space-group type is No. 127.

---

(9)
The following is a PBE calculation of a relaxed structure of Rb3Tl5Hg2, from Alexandria.

POSCAR file:
```
Rb3Tl5Hg2
1.0
7.5236 0.0000 0.0000
3.7618 10.1685 -1.1134
3.7618 1.6249 10.0994
Tl Rb Hg
10 6 4
direct
0.3665 0.7650 0.5019
0.9989 0.7511 0.7511
0.8665 0.5019 0.7650
0.2500 0.5000 0.5000
0.5011 0.2489 0.2489
0.0011 0.2489 0.2489
0.6335 0.2350 0.4981
0.4989 0.7511 0.7511
0.1335 0.4981 0.2350
0.7500 0.5000 0.5000
0.1189 0.1521 0.6102
0.8811 0.8479 0.3898
0.2500 0.0000 0.0000
0.6189 0.6102 0.1521
0.3811 0.3898 0.8479
0.7500 0.0000 0.0000
0.1485 0.6989 0.0040
0.8515 0.3011 0.9960
0.6485 0.0040 0.6989
0.3515 0.9960 0.3011
```

Properties
The value obtained for the density is 7.1 g/cm³. Its crystal system is orthorhombic. The volume comes out at 39.3 A^3/atom. The energy of formation comes out at -0.10 eV/atom. Its space-group type is No. 72.

---

(10)
The following is a PBE calculation of a relaxed structure of BaSr6Ca5, from Alexandria.

POSCAR file:
```
BaSr6Ca5
1.0
10.7191 1.2287 -1.7493
-4.6055 9.7569 -1.7493
-0.5523 -0.9925 5.7464
Sr Ca Ba
6 5 1
direct
0.5763 0.9127 0.7446
0.7383 0.7383 0.2382
0.0873 0.4237 0.2554
0.2617 0.2617 0.7618
0.4237 0.0873 0.2554
0.9127 0.5763 0.7446
0.3300 0.6700 0.0000
0.8302 0.1698 0.5000
0.1698 0.8302 0.5000
0.6700 0.3300 0.0000
0.5000 0.5000 0.5000
0.0000 0.0000 0.0000
```

Properties
The value obtained for the density is 2.4 g/cm³. For the energy relative to the lowest polymorph listed for this composition, the calculation gives 0.0 meV/atom. Its crystal system is orthorhombic. The volume comes out at 49.9 A^3/atom. The energy of formation comes out at 0.02 eV/atom. Its space-group type is No. 71.

---

(11)
The following is a PBE calculation of a relaxed structure of HfMg3Si, from Alexandria.

POSCAR file:
```
HfMg3Si
1.0
-3.3508 3.3518 1.3569
-0.2768 -2.0823 4.4599
3.6054 2.9552 1.6035
Hf Mg Si
1 3 1
direct
0.5000 0.5000 0.5000
0.0000 0.0000 0.5000
0.5000 0.0000 0.0000
0.0000 0.5000 0.0000
0.0000 0.0000 0.0000
```

Properties
The value obtained for the density is 3.9 g/cm³. For the energy relative to the lowest polymorph listed for this composition, the calculation gives 0.0 meV/atom. The uncorrected formation energy is 60.75 kJ per mole of atoms. Its crystal system is cubic. The volume comes out at 24.0 A^3/atom. Its space-group type is No. 221.

---

(12)
The following is a PBE calculation of a relaxed structure of CrI2, from Alexandria.

POSCAR file:
```
CrI2
1.0
-3.4100 -1.8392 -0.7432
3.6654 -4.8562 5.6697
-5.7076 8.3212 5.5958
I Cr
6 3
direct
0.2893 0.5786 0.3610
0.6227 0.2453 0.0275
0.0440 0.0879 0.3063
0.9560 0.9121 0.6937
0.7107 0.4214 0.6390
0.3773 0.7547 0.9725
0.0000 0.0000 0.0000
0.6667 0.3333 0.3340
0.3333 0.6667 0.6660
```

Properties
The value obtained for the density is 4.4 g/cm³. The uncorrected formation energy is -27.65 kJ per mole of atoms. Its crystal system is monoclinic. The volume comes out at 38.7 A^3/atom. Its space-group type is No. 12.

---

(13)
The following is a PBE calculation of a relaxed structure of B5C7, from Alexandria.

POSCAR file:
```
B5C7
1.0
6.2546 0.1208 -1.0375
5.6502 2.6852 -1.0375
0.2501 0.0590 5.3145
B C
5 7
direct
0.6522 0.6522 0.3340
0.0215 0.0215 0.6054
0.8982 0.8982 0.0794
0.3504 0.3504 0.7644
0.2446 0.2446 0.2865
0.0169 0.0169 0.0177
0.5864 0.5864 0.5713
0.5836 0.5836 0.0423
0.6647 0.6647 0.8360
0.9165 0.9165 0.7445
0.3315 0.3315 0.1116
0.2334 0.2334 0.8568
```

Properties
The value obtained for the density is 2.7 g/cm³. For the energy relative to the lowest polymorph listed for this composition, the calculation gives 107.7 meV/atom. Its crystal system is monoclinic. The volume comes out at 7.2 A^3/atom. The energy of formation comes out at 0.37 eV/atom. Its space-group type is No. 8.

---

(14)
The following is a PBE calculation of a relaxed structure of Pm3YSi2, from Alexandria.

POSCAR file:
```
Pm3YSi2
1.0
-2.2157 2.2498 8.1284
2.2157 -2.2498 8.1284
2.2157 2.2498 -8.1284
Si Pm Y
2 3 1
direct
0.8671 0.3671 0.5000
0.1329 0.6329 0.5000
0.3187 0.8187 0.5000
0.6813 0.1813 0.5000
0.5000 0.5000 0.0000
0.0000 0.0000 0.0000
```

Properties
The value obtained for the density is 5.9 g/cm³. For the energy relative to the lowest polymorph listed for this composition, the calculation gives 17.3 meV/atom. The uncorrected formation energy is -48.72 kJ per mole of atoms. Its crystal system is orthorhombic. The volume comes out at 27.0 A^3/atom. Its space-group type is No. 71.

---

(15)
The following is a PBE calculation of a relaxed structure of InSbN3, from Alexandria.

POSCAR file:
```
InSbN3
1.0
4.0509 0.0000 0.0000
0.0000 4.0509 0.0000
0.0000 0.0000 4.0509
N Sb In
3 1 1
direct
0.0000 0.5000 0.0000
0.0000 0.0000 0.5000
0.5000 0.0000 0.0000
0.0000 0.0000 0.0000
0.5000 0.5000 0.5000
```

Properties
The value obtained for the density is 7.0 g/cm³. The uncorrected formation energy is 128.99 kJ per mole of atoms. Its crystal system is cubic. The volume comes out at 13.3 A^3/atom. Its space-group type is No. 221.

---

(16)
The following is a PBE calculation of a relaxed structure of LiCdIn, from Alexandria.

POSCAR file:
```
LiCdIn
1.0
4.3634 0.0000 -0.2938
0.0000 4.4644 0.0000
-1.7720 0.0000 6.6418
In Li Cd
2 2 2
direct
0.0801 0.2500 0.6646
0.9199 0.7500 0.3354
0.4142 0.2500 0.3290
0.5858 0.7500 0.6710
0.2542 0.7500 0.0074
0.7458 0.2500 0.9926
```

Properties
The value obtained for the density is 6.1 g/cm³. For the energy relative to the lowest polymorph listed for this composition, the calculation gives 0.0 meV/atom. Its crystal system is monoclinic. The volume comes out at 21.2 A^3/atom. The energy of formation comes out at -0.19 eV/atom. Its space-group type is No. 11.

---

(17)
The following is a PBE calculation of a relaxed structure of ReIrAu, from Alexandria.

POSCAR file:
```
ReIrAu
1.0
-3.6268 -2.1409 -0.7283
-0.0020 -3.3676 -2.6320
-0.5076 -3.9415 1.5731
Re Au Ir
1 1 1
direct
0.0000 0.0000 0.0000
0.5000 0.5000 0.5000
0.2500 0.2500 0.2500
```

Properties
The value obtained for the density is 17.3 g/cm³. For the energy relative to the lowest polymorph listed for this composition, the calculation gives 577.5 meV/atom. Its crystal system is cubic. The volume comes out at 18.4 A^3/atom. The energy of formation comes out at 0.71 eV/atom. Its space-group type is No. 216.

---

(18)
The following is a PBE calculation of a relaxed structure of NaLiYAu2, from Alexandria.

POSCAR file:
```
NaLiYAu2
1.0
5.1216 0.0000 0.0000
0.0000 4.1902 0.0000
0.0000 0.0000 5.1216
Li Au Na Y
1 2 1 1
direct
0.0000 0.5000 0.0000
0.5000 0.0000 0.0000
0.0000 0.0000 0.5000
0.0000 0.0000 0.0000
0.5000 0.5000 0.5000
```

Properties
The value obtained for the density is 7.7 g/cm³. Its crystal system is tetragonal. The volume comes out at 22.0 A^3/atom. The energy of formation comes out at 0.02 eV/atom. Its space-group type is No. 123.

---

(19)
The following is a PBE calculation of a relaxed structure of BaCeAg2Te4, from Alexandria.

POSCAR file:
```
BaCeAg2Te4
1.0
-1.6439 -7.1712 -1.6442
2.7797 -5.4375 3.6537
-5.1448 -3.5605 3.3905
Te Ag Ba Ce
4 2 1 1
direct
0.5257 0.4787 0.9220
0.0736 0.9220 0.4787
0.9264 0.5213 0.0780
0.4743 0.0780 0.5213
0.1640 0.3360 0.3360
0.8360 0.6640 0.6640
0.0000 0.0000 0.0000
0.5000 0.5000 0.5000
```

Properties
The value obtained for the density is 6.1 g/cm³. The uncorrected formation energy is -76.70 kJ per mole of atoms. Its crystal system is orthorhombic. The volume comes out at 34.2 A^3/atom. Its space-group type is No. 23.

---

(20)
The following is a PBE calculation of a relaxed structure of KReAu2, from Alexandria.

POSCAR file:
```
KReAu2
1.0
-2.5727 -2.5849 -4.5656
-4.3161 -1.8484 3.4786
-7.4849 4.4256 -2.0273
Au Re K
4 2 2
direct
0.7843 0.1250 0.2500
0.8750 0.0343 0.7500
0.9657 0.6250 0.2500
0.3750 0.2157 0.7500
0.0000 0.0000 0.0000
0.7500 0.2500 0.5000
0.5000 0.5000 0.0000
0.2500 0.7500 0.5000
```

Properties
The value obtained for the density is 7.6 g/cm³. For the energy relative to the lowest polymorph listed for this composition, the calculation gives 516.3 meV/atom. Its crystal system is tetragonal. The volume comes out at 33.8 A^3/atom. The energy of formation comes out at 1.00 eV/atom. Its space-group type is No. 122.